A relaxed structure of SmY4Al2, computed with PBE.

```
data_SmY4Al2
_symmetry_space_group_name_H-M 'I 4/m m m'
_symmetry_Int_Tables_number 139
_symmetry_space_group_name_Hall '-I 4 2'
_cell_length_a 5.6339
_cell_length_b 5.6339
_cell_length_c 12.9009
_cell_angle_alpha 90.00
_cell_angle_beta 90.00
_cell_angle_gamma 90.00
loop_
_atom_site_label
_atom_site_fract_x
_atom_site_fract_y
_atom_site_fract_z
Sm1 0.0000 0.0000 0.0000
Y1 0.0000 0.5000 0.0000
Y2 0.0000 0.5000 0.2500
Al1 0.0000 0.0000 0.3852
```

ΔH_f (0 K): 0.252 eV per atom
Crystal system: tetragonal
Magnetization: 0.43 μB per formula unit
Raw total energy: -72.59 eV for the cell shown

---

A relaxed structure of ZrInReN2, computed with PBE.

```
data_ZrInReN2
_symmetry_space_group_name_H-M 'P 4/m m m'
_symmetry_Int_Tables_number 123
_symmetry_space_group_name_Hall '-P 4 2'
_cell_length_a 4.1106
_cell_length_b 4.1106
_cell_length_c 5.2087
_cell_angle_alpha 90.00
_cell_angle_beta 90.00
_cell_angle_gamma 90.00
loop_
_atom_site_label
_atom_site_fract_x
_atom_site_fract_y
_atom_site_fract_z
Zr1 0.0000 0.0000 0.0000
In1 0.5000 0.5000 0.5000
Re1 0.5000 0.5000 0.0000
N1 0.0000 0.5000 0.5000
```

ΔE_f (raw): 969 kJ/mol of formula units
Crystal system: tetragonal
Magnetization: 0.00 μB per formula unit
Raw total energy: -30.34 eV for the cell shown

---

A relaxed structure of Zn2GaHg2, computed with PBE.

```
data_Zn2GaHg2
_symmetry_space_group_name_H-M 'I 4/m m m'
_symmetry_Int_Tables_number 139
_symmetry_space_group_name_Hall '-I 4 2'
_cell_length_a 3.6894
_cell_length_b 3.6894
_cell_length_c 15.8885
_cell_angle_alpha 90.00
_cell_angle_beta 90.00
_cell_angle_gamma 90.00
loop_
_atom_site_label
_atom_site_fract_x
_atom_site_fract_y
_atom_site_fract_z
Zn1 0.0000 0.5000 0.2500
Ga1 0.0000 0.0000 0.0000
Hg1 0.0000 0.0000 0.3954
```

ΔH_f (0 K): 0.136 eV per atom
Crystal system: tetragonal
Magnetization: 0.00 μB per formula unit
Raw total energy: -11.00 eV for the cell shown

---

A relaxed structure of NdVSe3, computed with PBE.

```
data_NdVSe3
_symmetry_space_group_name_H-M 'P 1 21/c 1'
_symmetry_Int_Tables_number 14
_symmetry_space_group_name_Hall '-P 2ybc'
_cell_length_a 8.0864
_cell_length_b 6.3063
_cell_length_c 9.3925
_cell_angle_alpha 90.00
_cell_angle_beta 98.04
_cell_angle_gamma 90.00
loop_
_atom_site_label
_atom_site_fract_x
_atom_site_fract_y
_atom_site_fract_z
Nd1 0.1578 0.2345 0.1702
V1 0.4048 0.7449 0.5835
Se1 0.0896 0.7126 0.1135
Se2 0.3133 0.0718 0.9334
Se3 0.4435 0.5812 0.8354
```

ΔE_f (raw): -571 kJ/mol of formula units
Crystal system: monoclinic
Magnetization: 2.00 μB per formula unit
Raw total energy: -121.03 eV for the cell shown

---

Which formula does entry 1 have? SmY4Al2